! NiSeIO2, optimized geometry, DFT PBE+U; values from VASP
! Excess energy over the best structure of this formula in the dataset = 2.08 eV per formula unit
! E_tot = -2.987 eV per atom
! M_tot = 2.32 μB/cell
! D(E_F) = 3.79 states/eV/f.u.
&SYSTEM
  ibrav = 0, nat = 5, ntyp = 4
/
ATOMIC_SPECIES
Ni 58.69 Ni.upf
Se 78.96 Se.upf
I 126.90 I.upf
O 16.00 O.upf
ATOMIC_POSITIONS angstrom
Ni 0.0000 0.0000 0.0000
Se 1.9754 1.9754 2.7111
I 0.0000 0.0000 2.7111
O 0.0000 1.9754 0.0000
O 1.9754 0.0000 0.0000
CELL_PARAMETERS angstrom
3.9508 0.0000 0.0000
0.0000 3.9508 0.0000
0.0000 0.0000 5.4222